Material: Cr2RuRh
Method: DFT, meta-GGA SCAN
State: single point on PBEsol structure

Computed properties:
- VASP energy: -210.3 eV for the cell shown
- DFT formation energy: 54 meV/atom

Unit cell a=5.247 b=7.221 c=2.616 alpha=90.00 beta=90.00 gamma=90.00
Space group Cmmm (No. 65)
Symmetry-distinct sites (fractional):
1 Cr 0.250 0.250 0.000 (multiplicity 4)
2 Ru 0.000 0.000 0.500 (multiplicity 2)
3 Rh 0.000 0.500 0.500 (multiplicity 2)